Crystalline MnIn2CuNi at its relaxed geometry. Source: the Alexandria database, functional PBE.

Properties
Energy above the most stable polymorph in this dataset (meV/atom): 0.0
Calculated total energy (eV per atom): -4.4178
DOS at the Fermi energy (states/eV/f.u.): 2.07
Total moment (μB per formula unit): 4.66
Crystal system: tetragonal
Formation energy from the elements (eV/atom): 0.49

Structure (CIF):
```
data_MnIn2CuNi
_chemical_formula_sum 'Mn1 In2 Cu1 Ni1'
_cell_length_a 4.838
_cell_length_b 4.838
_cell_length_c 4.629
_cell_angle_alpha 90.00
_cell_angle_beta 90.00
_cell_angle_gamma 90.00
_space_group_name_H-M_alt 'P 4/m m m'
_space_group_IT_number 123
_space_group_name_Hall '-P 4 2'
loop_
_atom_site_label
_atom_site_type_symbol
_atom_site_fract_x
_atom_site_fract_y
_atom_site_fract_z
Mn1 Mn 0.000 0.000 0.000
In1 In 0.000 0.500 0.500
Cu1 Cu 0.500 0.500 0.000
Ni1 Ni 0.000 0.000 0.500
```